Entry 1:
VASP calculation (PBE) on crystalline Pm2Tm4Mg at its relaxed geometry.

The space group is I-42m (No. 121) and the conventional cell measures 8.225, 8.225 and 6.573 Å, with angles of 90.00, 90.00 and 90.00 degrees. The asymmetric unit holds Pm at (0.000, 0.500, 0.250), Tm at (0.201, 0.201, 0.069) and Mg at (0.000, 0.000, 0.500).

Its formation enthalpy at 0 K is 0.332 eV per atom. The offset from the most stable computed form comes out at 1.40 eV/f.u.

---

Entry 2:
VASP calculation (PBE) on crystalline Pm3Dy8 at its relaxed geometry.

The space group is R-3m (No. 166, hexagonal axes) and the conventional cell measures 3.5723, 3.5723 and 95.9013 Å, with angles of 90.00, 90.00 and 120.00 degrees. The asymmetric unit holds Pm at (0.0000, 0.0000, 0.0000), Pm at (0.0000, 0.0000, 0.2721), Dy at (0.0000, 0.0000, 0.0918), Dy at (0.0000, 0.0000, 0.1816), Dy at (0.0000, 0.0000, 0.3639) and Dy at (0.0000, 0.0000, 0.4551).

Its formation enthalpy at 0 K is 0.016 eV per atom. The offset from the most stable computed form comes out at 0.00 eV/f.u.

---

Entry 3:
VASP calculation (PBE) on crystalline ScMn4Re at its relaxed geometry.

The space group is F-43m (No. 216) and the conventional cell measures 6.751, 6.751 and 6.751 Å, with angles of 90.00, 90.00 and 90.00 degrees. The asymmetric unit holds Sc at (0.000, 0.000, 0.000), Mn at (0.126, 0.126, 0.626) and Re at (0.250, 0.250, 0.250).

Its formation enthalpy at 0 K is -0.047 eV per atom.

---

Entry 4:
VASP calculation (PBE) on crystalline KBaCa2 at its relaxed geometry.

The space group is R-3m (No. 166, hexagonal axes) and the conventional cell measures 4.1356, 4.1356 and 42.1536 Å, with angles of 90.00, 90.00 and 120.00 degrees. The asymmetric unit holds K at (0.0000, 0.0000, 0.0000), Ba at (0.0000, 0.0000, 0.5000) and Ca at (0.0000, 0.0000, 0.2475).

Its formation enthalpy at 0 K is 0.117 eV per atom. The offset from the most stable computed form comes out at 0.10 eV/f.u.

---

Entry 5:
VASP calculation (PBE) on crystalline Cs2TcF7 at its relaxed geometry.

The space group is C2/c (No. 15) and the conventional cell measures 15.343, 6.683 and 10.886 Å, with angles of 90.00, 134.43 and 90.00 degrees. The asymmetric unit holds Cs at (0.170, 0.065, 0.261), Tc at (0.000, 0.457, 0.750), F at (0.000, 0.161, 0.750), F at (0.069, 0.303, 0.399), F at (0.081, 0.367, 0.980) and F at (0.155, 0.455, 0.813).

For the raw formation energy, the calculation gives -2.4522 eV per atom.

---

Entry 6:
VASP calculation (PBE) on crystalline Ce2GaCu3Ge4 at its relaxed geometry.

The space group is P-4m2 (No. 115) and the conventional cell measures 4.290, 4.290 and 9.969 Å, with angles of 90.00, 90.00 and 90.00 degrees. The asymmetric unit holds Ce at (0.000, 0.500, 0.245), Ga at (0.000, 0.000, 0.500), Cu at (0.000, 0.500, 0.878), Cu at (0.500, 0.500, 0.500), Ge at (0.000, 0.000, 0.000), Ge at (0.000, 0.500, 0.641) and Ge at (0.500, 0.500, 0.000).

Its formation enthalpy at 0 K is -0.450 eV per atom.

---

These records have total magnetization values of 1.023; 0.000; 0.005; 0.291; 2.000; 1.433 μB/f.u., in the order they appear.